(1)
Sm2TeI | PBE | optimized geometry

Calculated values
Symmetry   P4/mmm
Calculated total energy   -4.29 eV per atom
Crystal system   tetragonal
ρ   6.42 g cm⁻³

Cell: 3.8589 3.8589 9.6455 Å, 90.00 90.00 90.00°
With the nearest neighbours (Å) after each atom.
Fractional coordinates of all 4 atoms:
1 I 0.0000 0.0000 0.0000  2 Sm 3.00
2 Sm 0.0000 0.0000 0.3114  1 I 3.00, 4 Te 3.28
3 Sm 0.0000 0.0000 0.6886  1 I 3.00, 4 Te 3.28
4 Te 0.5000 0.5000 0.5000  8 Sm 3.28

=====

(2)
ScNb2Au | PBE | optimized geometry

Calculated values
Symmetry   F-43m
Formation energy   -0.09 eV/atom
Calculated total energy   -7.53 eV per atom
Crystal system   cubic
ρ   9.68 g cm⁻³

Cell: 4.6990 4.6990 4.6990 Å, 60.00 60.00 60.00°
With the nearest neighbours (Å) after each atom.
Fractional coordinates of all 4 atoms:
1 Sc 0.7500 0.7500 0.7500  4 Au 2.88, 4 Nb 2.88
2 Au 0.5000 0.5000 0.5000  4 Nb 2.88, 4 Sc 2.88
3 Nb 0.0000 0.0000 0.0000  4 Nb 2.88, 4 Sc 2.88
4 Nb 0.2500 0.2500 0.2500  4 Nb 2.88, 4 Au 2.88

=====

(3)
Tb2MgS3 | PBE | optimized geometry

Calculated values
Symmetry   P-3m1
Calculated total energy   -5.65 eV per atom
Crystal system   trigonal
ρ   5.97 g cm⁻³

Cell: 3.8256 3.8256 9.6156 Å, 90.00 90.00 120.00°
With the nearest neighbours (Å) after each atom.
Fractional coordinates of all 6 atoms:
1 Tb 0.3333 0.6667 0.1609  6 S 2.70-2.86
2 Tb 0.6667 0.3333 0.8391  6 S 2.70-2.86
3 S 0.3333 0.6667 0.6507  3 Mg 2.64, 3 Tb 2.86
4 S 0.6667 0.3333 0.3493  3 Mg 2.64, 3 Tb 2.86
5 S 0.0000 0.0000 0.0000  6 Tb 2.70
6 Mg 0.0000 0.0000 0.5000  6 S 2.64

=====

(4)
KRbZrTe3 | PBE | optimized geometry

Calculated values
Symmetry   Cmcm
Calculated total energy   -4.13 eV per atom
Crystal system   orthorhombic
ρ   3.51 g cm⁻³

Cell: 10.6007 10.6007 12.6809 Å, 90.00 90.00 156.60°
With the nearest neighbours (Å) after each atom.
Fractional coordinates of all 12 atoms:
1 Rb 0.8551 0.1449 0.2500  4 Te 3.34-3.54
2 Rb 0.1449 0.8551 0.7500  4 Te 3.34-3.54
3 K 0.1142 0.8858 0.2500  4 Te 3.17-3.35
4 K 0.8858 0.1142 0.7500  4 Te 3.17-3.35
5 Te 0.0965 0.9035 0.4985  2 Zr 2.94, 1 K 3.17
6 Te 0.9035 0.0965 0.9985  2 Zr 2.94, 1 K 3.17
7 Te 0.9035 0.0965 0.5015  2 Zr 2.94, 1 K 3.17
8 Te 0.0965 0.9035 0.0015  2 Zr 2.94, 1 K 3.17
9 Te 0.4904 0.5096 0.2500  2 Zr 3.18, 2 K 3.35, 2 Rb 3.54
10 Te 0.5096 0.4904 0.7500  2 Zr 3.18, 2 K 3.35, 2 Rb 3.54
11 Zr 0.5000 0.5000 0.5000  6 Te 2.94-3.18
12 Zr 0.5000 0.5000 0.0000  6 Te 2.94-3.18

=====

(5)
AcLuGe | PBE | optimized geometry

Calculated values
Symmetry   F-43m
Calculated total energy   -4.11 eV per atom
Crystal system   cubic
ρ   8.27 g cm⁻³

Cell: 5.1261 5.1261 5.1261 Å, 60.00 60.00 60.00°
With the nearest neighbours (Å) after each atom.
Fractional coordinates of all 3 atoms:
1 Ac 0.2500 0.2500 0.2500  4 Lu 3.14
2 Lu 0.0000 0.0000 0.0000  4 Ge 3.14, 4 Ac 3.14
3 Ge 0.7500 0.7500 0.7500  4 Lu 3.14

=====

(6)
LaPrNd2Se3O4 | PBE | optimized geometry

Calculated values
Symmetry   Amm2
Calculated total energy   -7.28 eV per atom
Crystal system   orthorhombic
ρ   6.48 g cm⁻³

Cell: 8.4539 6.8257 6.8257 Å, 34.41 90.00 90.00°
With the nearest neighbours (Å) after each atom.
Fractional coordinates of all 11 atoms:
1 Pr 0.5000 0.0170 0.0170  4 O 2.36-2.40
2 Nd 0.7622 0.6847 0.6847  4 O 2.37-2.39
3 Nd 0.2378 0.6847 0.6847  4 O 2.37-2.39
4 La 0.0000 0.0000 0.0000  4 O 2.33-2.38
5 Se 0.0000 0.3103 0.3103  2 Se 3.02, 2 La 3.19, 4 Nd 3.29
6 Se 0.3498 0.3560 0.3560  1 Se 2.54
7 Se 0.6502 0.3560 0.3560  1 Se 2.54
8 O 0.2446 0.0902 0.0902  1 Pr 2.36, 2 Nd 2.37, 1 La 2.38
9 O 0.0000 0.5889 0.5889  2 La 2.33, 2 Nd 2.37
10 O 0.5000 0.6167 0.6167  2 Nd 2.39, 2 Pr 2.40
11 O 0.7554 0.0902 0.0902  1 Pr 2.36, 2 Nd 2.37, 1 La 2.38

=====

(7)
TmBePb | PBE | optimized geometry

Calculated values
Symmetry   F-43m
Calculated total energy   -3.47 eV per atom
Crystal system   cubic
ρ   8.01 g cm⁻³

Cell: 4.8343 4.8343 4.8343 Å, 60.00 60.00 60.00°
With the nearest neighbours (Å) after each atom.
Fractional coordinates of all 3 atoms:
1 Be 0.2500 0.2500 0.2500  4 Tm 2.96
2 Tm 0.0000 0.0000 0.0000  4 Be 2.96, 4 Pb 2.96
3 Pb 0.7500 0.7500 0.7500  4 Tm 2.96

=====

(8)
HoCdNO | PBE | optimized geometry

Calculated values
Symmetry   P4/nmm
Calculated total energy   -6.15 eV per atom
Crystal system   tetragonal
ρ   9.34 g cm⁻³

Cell: 4.8668 4.8668 4.6164 Å, 90.00 90.00 90.00°
With the nearest neighbours (Å) after each atom.
Fractional coordinates of all 8 atoms:
1 O 0.5000 0.5000 0.0000  2 Ho 2.31, 4 Cd 2.43
2 O 0.0000 0.0000 0.0000  2 Ho 2.31, 4 Cd 2.43
3 Ho 0.5000 0.5000 0.5000  2 O 2.31, 4 N 2.43
4 Ho 0.0000 0.0000 0.5000  2 O 2.31, 4 N 2.43
5 Cd 0.5000 0.0000 0.9967  2 N 2.31, 4 O 2.43
6 Cd 0.0000 0.5000 0.0033  2 N 2.31, 4 O 2.43
7 N 0.5000 0.0000 0.4972  2 Cd 2.31, 4 Ho 2.43
8 N 0.0000 0.5000 0.5028  2 Cd 2.31, 4 Ho 2.43

=====

(9)
Na2NbReO6 | PBE | optimized geometry

Calculated values
Symmetry   P2_1/c
Calculated total energy   -7.52 eV per atom
Crystal system   monoclinic
ρ   6.03 g cm⁻³

Cell: 5.4430 5.4933 9.4706 Å, 90.00 125.07 90.00°
With the nearest neighbours (Å) after each atom.
Fractional coordinates of all 20 atoms:
1 O 0.6796 0.2199 0.4705  1 Re 1.93, 1 Nb 2.00
2 O 0.6796 0.2801 0.9705  1 Re 1.93, 1 Nb 2.00
3 O 0.2489 0.2107 0.0292  1 Re 1.93, 1 Nb 2.00
4 O 0.3204 0.7199 0.0295  1 Re 1.93, 1 Nb 2.00
5 O 0.7511 0.7893 0.9708  1 Re 1.93, 1 Nb 2.00
6 O 0.7511 0.7107 0.4708  1 Re 1.93, 1 Nb 2.00
7 O 0.3204 0.7801 0.5295  1 Re 1.93, 1 Nb 2.00
8 O 0.1971 0.9908 0.7550  1 Re 1.93, 1 Nb 2.00
9 O 0.8029 0.4908 0.7450  1 Re 1.93, 1 Nb 2.00
10 O 0.1971 0.5092 0.2550  1 Re 1.93, 1 Nb 2.00
11 O 0.2489 0.2893 0.5292  1 Re 1.93, 1 Nb 2.00
12 O 0.8029 0.0092 0.2450  1 Re 1.93, 1 Nb 2.00
13 Na 0.2546 0.5229 0.7503  8 O 2.44-2.71
14 Na 0.2546 0.9771 0.2503  8 O 2.44-2.71
15 Na 0.7454 0.4771 0.2497  8 O 2.44-2.71
16 Na 0.7454 0.0229 0.7497  8 O 2.44-2.71
17 Re 0.5000 0.5000 0.5000  6 O 1.93
18 Re 0.5000 0.0000 0.0000  6 O 1.93
19 Nb 0.0000 0.5000 0.0000  6 O 2.00
20 Nb 0.0000 0.0000 0.5000  6 O 2.00

=====

(10)
Li4CdIn3 | PBE | optimized geometry

Calculated values
Symmetry   P-4m2
Calculated total energy   -2.39 eV per atom
Crystal system   tetragonal
ρ   5.23 g cm⁻³

Cell: 4.7682 4.7682 6.7668 Å, 90.00 90.00 90.00°
With the nearest neighbours (Å) after each atom.
Fractional coordinates of all 8 atoms:
1 In 0.5000 0.0000 0.2436  2 Cd 2.90, 4 Li 2.90-2.95, 2 In 2.95
2 In 0.0000 0.5000 0.7564  2 Cd 2.90, 4 Li 2.90-2.95, 2 In 2.95
3 In 0.5000 0.5000 0.5000  4 Li 2.94, 4 In 2.95
4 Cd 0.0000 0.0000 0.0000  4 In 2.90, 4 Li 2.91
5 Li 0.5000 0.5000 0.0000  4 In 2.90, 4 Li 2.91
6 Li 0.0000 0.5000 0.2460  2 Cd 2.91, 4 Li 2.91-2.94, 2 In 2.94
7 Li 0.5000 0.0000 0.7540  2 Cd 2.91, 4 Li 2.91-2.94, 2 In 2.94
8 Li 0.0000 0.0000 0.5000  4 Li 2.94, 4 In 2.95

=====

(11)
Na2MgOsS4 | PBE | optimized geometry

Calculated values
Symmetry   C2
Calculated total energy   -4.63 eV per atom
Crystal system   monoclinic
ρ   3.32 g cm⁻³

Cell: 6.5272 6.5272 6.4546 Å, 119.61 119.61 91.30°
With the nearest neighbours (Å) after each atom.
Fractional coordinates of all 8 atoms:
1 S 0.6153 0.8445 0.9214  1 Os 2.24, 1 Mg 2.45
2 S 0.1555 0.3847 0.0786  1 Os 2.24, 1 Mg 2.45
3 S 0.9514 0.6660 0.5388  1 Os 2.24, 1 Mg 2.45
4 S 0.3340 0.0486 0.4612  1 Os 2.24, 1 Mg 2.45
5 Os 0.2642 0.7358 0.5000  4 S 2.24
6 Na 0.5146 0.4854 0.0000  4 S 2.76
7 Na 0.7639 0.2361 0.5000  4 S 2.88
8 Mg 0.0140 0.9860 0.0000  4 S 2.45

=====

(12)
Cu3OsSe4 | PBE | optimized geometry

Calculated values
Symmetry   I-42m
Calculated total energy   -4.56 eV per atom
Crystal system   tetragonal
ρ   6.86 g cm⁻³

Cell: 6.7293 6.7293 6.7293 Å, 131.23 131.23 71.45°
With the nearest neighbours (Å) after each atom.
Fractional coordinates of all 8 atoms:
1 Se 0.8783 0.8783 0.5080  1 Os 2.36, 3 Cu 2.40-2.41
2 Se 0.3703 0.3703 0.4920  1 Os 2.36, 3 Cu 2.40-2.41
3 Se 0.6297 0.1217 0.0000  1 Os 2.36, 3 Cu 2.40-2.41
4 Se 0.1217 0.6297 0.0000  1 Os 2.36, 3 Cu 2.40-2.41
5 Os 0.0000 0.0000 0.0000  4 Se 2.36
6 Cu 0.7500 0.2500 0.5000  4 Se 2.40
7 Cu 0.5000 0.5000 0.0000  4 Se 2.41
8 Cu 0.2500 0.7500 0.5000  4 Se 2.40

=====

- Look up the ρ of the twelfth one.
  6.86 g cm⁻³